No. 1
VASP calculation (PBE) on AcAlTc after structural relaxation.

Relative energy among the computed polymorphs, kJ per mole of atoms: 0.0
Space-group type: No. 216

abc: 4.7727 4.7727 4.7727
angles: 60.00 60.00 60.00
Fractional positions:
Ac  0.0000  0.0000  0.0000
Al  0.2500  0.2500  0.2500
Tc  0.5000  0.5000  0.5000

No. 2
VASP calculation (PBE) on AcAlTc after structural relaxation.

Relative energy among the computed polymorphs, kJ per mole of atoms: 70.0
Space-group type: No. 216

abc: 4.9045 4.9045 4.9045
angles: 60.00 60.00 60.00
Fractional positions:
Ac  0.0000  0.0000  0.0000
Al  0.7500  0.7500  0.7500
Tc  0.2500  0.2500  0.2500

No. 3
VASP calculation (PBE) on AcAlW after structural relaxation.

Relative energy among the computed polymorphs, kJ per mole of atoms: 0.0
Space-group type: No. 216

abc: 4.7345 4.7345 4.7345
angles: 60.00 60.00 60.00
Fractional positions:
Ac  0.0000  0.0000  0.0000
Al  0.5000  0.5000  0.5000
W  0.7500  0.7500  0.7500

No. 4
VASP calculation (PBE) on Ac2Al7Zn after structural relaxation.

E_tot, eV per atom: -3.905
Space-group type: No. 115

abc: 4.5164 4.5164 10.9150
angles: 90.00 90.00 90.00
Fractional positions:
Ac  0.0000  0.5000  0.2478
Ac  0.5000  0.0000  0.7522
Al  0.0000  0.0000  0.0000
Al  0.0000  0.0000  0.5000
Al  0.0000  0.5000  0.6330
Al  0.0000  0.5000  0.8723
Al  0.5000  0.0000  0.1277
Al  0.5000  0.0000  0.3670
Al  0.5000  0.5000  0.5000
Zn  0.5000  0.5000  0.0000

No. 5
VASP calculation (PBE) on Ac2Al5Zn3 after structural relaxation.

E_tot, eV per atom: -3.442
Space-group type: No. 115

abc: 4.4533 4.4533 10.8758
angles: 90.00 90.00 90.00
Fractional positions:
Ac  0.0000  0.5000  0.2472
Ac  0.5000  0.0000  0.7528
Al  0.0000  0.0000  0.5000
Al  0.0000  0.5000  0.6396
Al  0.5000  0.0000  0.3604
Al  0.5000  0.5000  0.0000
Al  0.5000  0.5000  0.5000
Zn  0.0000  0.0000  0.0000
Zn  0.0000  0.5000  0.8754
Zn  0.5000  0.0000  0.1246

No. 6
VASP calculation (PBE) on AcAlZn after structural relaxation.

Relative energy among the computed polymorphs, kJ per mole of atoms: 13.7
Space-group type: No. 216

abc: 4.9054 4.9054 4.9054
angles: 60.00 60.00 60.00
Fractional positions:
Ac  0.0000  0.0000  0.0000
Al  0.5000  0.5000  0.5000
Zn  0.2500  0.2500  0.2500

No. 7
VASP calculation (PBE) on AcAlZn after structural relaxation.

Relative energy among the computed polymorphs, kJ per mole of atoms: 29.8
Space-group type: No. 216

abc: 4.9683 4.9683 4.9683
angles: 60.00 60.00 60.00
Fractional positions:
Ac  0.0000  0.0000  0.0000
Al  0.2500  0.2500  0.2500
Zn  0.5000  0.5000  0.5000

No. 8
VASP calculation (PBE) on AcZrAl after structural relaxation.

Relative energy among the computed polymorphs, kJ per mole of atoms: 72.8
Space-group type: No. 216

abc: 5.1982 5.1982 5.1982
angles: 60.00 60.00 60.00
Fractional positions:
Ac  0.0000  0.0000  0.0000
Zr  0.2500  0.2500  0.2500
Al  0.7500  0.7500  0.7500

No. 9
VASP calculation (PBE) on AcZrAl after structural relaxation.

Relative energy among the computed polymorphs, kJ per mole of atoms: 0.0
Space-group type: No. 216

abc: 5.0650 5.0650 5.0650
angles: 60.00 60.00 60.00
Fractional positions:
Ac  0.0000  0.0000  0.0000
Zr  0.5000  0.5000  0.5000
Al  0.2500  0.2500  0.2500

No. 10
VASP calculation (PBE) on AcAsAuO after structural relaxation.

Relative energy among the computed polymorphs, kJ per mole of atoms: 0.0
Space-group type: No. 129

abc: 4.3418 4.3418 8.8218
angles: 90.00 90.00 90.00
Fractional positions:
Ac  0.2500  0.2500  0.1390
Ac  0.7500  0.7500  0.8610
As  0.2500  0.2500  0.6738
As  0.7500  0.7500  0.3262
Au  0.2500  0.7500  0.5000
Au  0.7500  0.2500  0.5000
O  0.2500  0.7500  0.0000
O  0.7500  0.2500  0.0000

No. 11
VASP calculation (PBE) on AcAsAuO after structural relaxation.

Relative energy among the computed polymorphs, kJ per mole of atoms: 23.6
Space-group type: No. 26

abc: 5.2147 4.3522 7.4770
angles: 90.00 90.00 90.00
Fractional positions:
Ac  0.0000  0.2490  0.0000
Ac  0.0000  0.7510  0.5000
As  0.5000  0.2484  0.6719
As  0.5000  0.7516  0.1719
Au  0.5000  0.2518  0.3372
Au  0.5000  0.7482  0.8372
O  0.0000  0.2512  0.3346
O  0.0000  0.7488  0.8346

No. 12
VASP calculation (PBE) on AcAsAuO after structural relaxation.

Relative energy among the computed polymorphs, kJ per mole of atoms: 0.0
Space-group type: No. 129

abc: 4.3202 4.3202 8.9721
angles: 90.00 90.00 90.00
Fractional positions:
Ac  0.2500  0.2500  0.1384
Ac  0.7500  0.7500  0.8616
As  0.2500  0.2500  0.6741
As  0.7500  0.7500  0.3259
Au  0.2500  0.7500  0.5000
Au  0.7500  0.2500  0.5000
O  0.2500  0.7500  0.0000
O  0.7500  0.2500  0.0000

No. 13
VASP calculation (PBE) on AcAsAuO after structural relaxation.

Relative energy among the computed polymorphs, kJ per mole of atoms: 56.1
Space-group type: No. 129

abc: 6.7156 6.7156 4.6431
angles: 90.00 90.00 90.00
Fractional positions:
Ac  0.2500  0.7500  0.0000
Ac  0.7500  0.2500  0.0000
As  0.2500  0.2500  0.0386
As  0.7500  0.7500  0.9614
Au  0.2500  0.2500  0.5393
Au  0.7500  0.7500  0.4607
O  0.2500  0.7500  0.5000
O  0.7500  0.2500  0.5000

No. 14
VASP calculation (PBE) on AcCdAs after structural relaxation.

Relative energy among the computed polymorphs, kJ per mole of atoms: 13.5
Space-group type: No. 216

abc: 5.0822 5.0822 5.0822
angles: 60.00 60.00 60.00
Fractional positions:
Ac  0.0000  0.0000  0.0000
Cd  0.2500  0.2500  0.2500
As  0.5000  0.5000  0.5000

No. 15
VASP calculation (PBE) on AcCdAs after structural relaxation.

Relative energy among the computed polymorphs, kJ per mole of atoms: 0.0
Space-group type: No. 216

abc: 5.2534 5.2534 5.2534
angles: 60.00 60.00 60.00
Fractional positions:
Ac  0.0000  0.0000  0.0000
Cd  0.2500  0.2500  0.2500
As  0.7500  0.7500  0.7500

No. 16
VASP calculation (PBE) on AcCdAsO after structural relaxation.

Relative energy among the computed polymorphs, kJ per mole of atoms: 0.0
Space-group type: No. 129

abc: 4.3216 4.3216 9.4739
angles: 90.00 90.00 90.00
Fractional positions:
Ac  0.2500  0.2500  0.1308
Ac  0.7500  0.7500  0.8692
Cd  0.2500  0.7500  0.5000
Cd  0.7500  0.2500  0.5000
As  0.2500  0.2500  0.6863
As  0.7500  0.7500  0.3137
O  0.2500  0.7500  0.0000
O  0.7500  0.2500  0.0000

No. 17
VASP calculation (PBE) on AcCdAsO after structural relaxation.

Relative energy among the computed polymorphs, kJ per mole of atoms: 61.0
Space-group type: No. 129

abc: 6.0095 6.0095 4.9897
angles: 90.00 90.00 90.00
Fractional positions:
Ac  0.2500  0.7500  0.0000
Ac  0.7500  0.2500  0.0000
Cd  0.2500  0.2500  0.4987
Cd  0.7500  0.7500  0.5013
As  0.2500  0.2500  0.9987
As  0.7500  0.7500  0.0013
O  0.2500  0.7500  0.5000
O  0.7500  0.2500  0.5000

No. 18
VASP calculation (PBE) on AcCdAsO after structural relaxation.

Relative energy among the computed polymorphs, kJ per mole of atoms: 29.1
Space-group type: No. 26

abc: 4.8430 4.6840 7.3054
angles: 90.00 90.00 90.00
Fractional positions:
Ac  0.0000  0.2341  0.0000
Ac  0.0000  0.7659  0.5000
Cd  0.5000  0.2757  0.3494
Cd  0.5000  0.7243  0.8494
As  0.5000  0.2255  0.6984
As  0.5000  0.7745  0.1984
O  0.0000  0.2675  0.3385
O  0.0000  0.7325  0.8385

No. 19
VASP calculation (PBE) on AcCdAsO after structural relaxation.

Relative energy among the computed polymorphs, kJ per mole of atoms: 136.9
Space-group type: No. 129

abc: 4.8789 4.8789 9.4201
angles: 90.00 90.00 90.00
Fractional positions:
Ac  0.2500  0.7500  0.0000
Ac  0.7500  0.2500  0.0000
Cd  0.2500  0.2500  0.4865
Cd  0.7500  0.7500  0.5135
As  0.2500  0.2500  0.1864
As  0.7500  0.7500  0.8136
O  0.2500  0.7500  0.5000
O  0.7500  0.2500  0.5000

No. 20
VASP calculation (PBE) on AcCuAs after structural relaxation.

Relative energy among the computed polymorphs, kJ per mole of atoms: 33.4
Space-group type: No. 216

abc: 5.0378 5.0378 5.0378
angles: 60.00 60.00 60.00
Fractional positions:
Ac  0.0000  0.0000  0.0000
Cu  0.2500  0.2500  0.2500
As  0.7500  0.7500  0.7500

No. 21
VASP calculation (PBE) on AcErAsO after structural relaxation.

Relative energy among the computed polymorphs, kJ per mole of atoms: 42.8
Space-group type: No. 129

abc: 4.5429 4.5429 8.9985
angles: 90.00 90.00 90.00
Fractional positions:
Ac  0.2500  0.7500  0.0000
Ac  0.7500  0.2500  0.0000
Er  0.2500  0.2500  0.4295
Er  0.7500  0.7500  0.5705
As  0.2500  0.2500  0.7675
As  0.7500  0.7500  0.2325
O  0.2500  0.7500  0.5000
O  0.7500  0.2500  0.5000

No. 22
VASP calculation (PBE) on AcErAsO after structural relaxation.

Relative energy among the computed polymorphs, kJ per mole of atoms: 3.9
Space-group type: No. 26

abc: 4.5467 7.5229 6.3989
angles: 90.00 90.00 90.00
Fractional positions:
Ac  0.0000  0.2088  0.0000
Ac  0.0000  0.7912  0.5000
Er  0.5000  0.3927  0.5840
Er  0.5000  0.6073  0.0840
As  0.0000  0.2007  0.4953
As  0.0000  0.7993  0.9953
O  0.5000  0.3502  0.9272
O  0.5000  0.6498  0.4272

No. 23
VASP calculation (PBE) on AcErAsO after structural relaxation.

Relative energy among the computed polymorphs, kJ per mole of atoms: 0.9
Space-group type: No. 129

abc: 4.5227 4.5227 9.3970
angles: 90.00 90.00 90.00
Fractional positions:
Ac  0.2500  0.2500  0.1188
Ac  0.7500  0.7500  0.8812
Er  0.2500  0.7500  0.5000
Er  0.7500  0.2500  0.5000
As  0.2500  0.2500  0.6817
As  0.7500  0.7500  0.3183
O  0.2500  0.7500  0.0000
O  0.7500  0.2500  0.0000

No. 24
VASP calculation (PBE) on AcErAsO after structural relaxation.

Relative energy among the computed polymorphs, kJ per mole of atoms: 0.0
Space-group type: No. 26

abc: 4.3456 5.8304 7.5319
angles: 90.00 90.00 90.00
Fractional positions:
Ac  0.0000  0.1135  0.0000
Ac  0.0000  0.8865  0.5000
Er  0.5000  0.3626  0.3453
Er  0.5000  0.6374  0.8453
As  0.5000  0.1783  0.6998
As  0.5000  0.8217  0.1998
O  0.0000  0.2806  0.3145
O  0.0000  0.7194  0.8145

No. 25
VASP calculation (PBE) on AcGdAs after structural relaxation.

E_tot, eV per atom: -5.141
Space-group type: No. 216

abc: 5.1151 5.1151 5.1151
angles: 60.00 60.00 60.00
Fractional positions:
Ac  0.0000  0.0000  0.0000
Gd  0.5000  0.5000  0.5000
As  0.2500  0.2500  0.2500

No. 26
VASP calculation (PBE) on AcLuAsO after structural relaxation.

Relative energy among the computed polymorphs, kJ per mole of atoms: 3.2
Space-group type: No. 26

abc: 4.6873 7.2025 6.3944
angles: 90.00 90.00 90.00
Fractional positions:
Ac  0.0000  0.2148  0.0000
Ac  0.0000  0.7852  0.5000
Lu  0.5000  0.3886  0.5884
Lu  0.5000  0.6114  0.0884
As  0.0000  0.2149  0.4949
As  0.0000  0.7851  0.9949
O  0.5000  0.3564  0.9266
O  0.5000  0.6436  0.4266

No. 27
VASP calculation (PBE) on AcLuAsO after structural relaxation.

Relative energy among the computed polymorphs, kJ per mole of atoms: 0.0
Space-group type: No. 26

abc: 4.4057 5.4135 7.7147
angles: 90.00 90.00 90.00
Fractional positions:
Ac  0.0000  0.1423  0.0000
Ac  0.0000  0.8577  0.5000
Lu  0.5000  0.3469  0.3485
Lu  0.5000  0.6531  0.8485
As  0.5000  0.1701  0.6995
As  0.5000  0.8299  0.1995
O  0.0000  0.2983  0.3311
O  0.0000  0.7017  0.8311